(1)
ErZrTlC: optimized geometry, PBE-GGA.

Summary:
E (eV per atom): -6.67
Distance to the lowest polymorph of the same formula (meV per atom): 10

a b c (Å): 3.4755 3.4755 15.6265
angles (deg): 90.00 90.00 120.00
Space group P-3m1 (No. 164)
One atom of each set of equivalent atoms:
Er (0.3333, 0.6667, 0.4138) [2 per cell]
Zr (0.3333, 0.6667, 0.0778) [2 per cell]
Tl (0.3333, 0.6667, 0.7587) [2 per cell]
C (0.0000, 0.0000, 0.0000) [1 per cell]
C (0.0000, 0.0000, 0.5000) [1 per cell]



(2)
Li6TlAg: optimized geometry, PBE-GGA.

Summary:
E (eV per atom): -2.26

a b c (Å): 4.544 4.544 6.335
angles (deg): 90.00 90.00 90.00
Space group P4/mmm (No. 123)
One atom of each set of equivalent atoms:
Li (0.000, 0.000, 0.000) [1 per cell]
Li (0.000, 0.500, 0.244) [4 per cell]
Li (0.500, 0.500, 0.500) [1 per cell]
Tl (0.000, 0.000, 0.500) [1 per cell]
Ag (0.500, 0.500, 0.000) [1 per cell]



(3)
ZrTcIr2: optimized geometry, PBE-GGA.

Summary:
Energy relative to the elements (meV per atom): -82
E (eV per atom): -9.24

a b c (Å): 6.384 6.384 6.384
angles (deg): 90.00 90.00 90.00
Space group F-43m (No. 216)
One atom of each set of equivalent atoms:
Zr (0.000, 0.000, 0.000) [4 per cell]
Tc (0.250, 0.250, 0.750) [4 per cell]
Ir (0.000, 0.000, 0.500) [4 per cell]
Ir (0.250, 0.250, 0.250) [4 per cell]